# 1
Here is a relaxed Li8SiGe2 crystal from the Alexandria database. Energies are from PBE.

The structure in extended XYZ format:
```
11
Lattice="-4.3807 -0.1513 -0.5242 -0.7223 -1.9197 6.5908 2.1803 6.3809 -1.4735" Properties=species:S:1:pos:R:3 pbc="T T T"
Li -2.3984 5.4319 -0.1124
Li -0.5243 -1.1220 4.7055
Li -2.8281 0.3107 4.9564
Li -0.4120 3.6603 2.3866
Li -2.7787 2.8185 3.8200
Li -2.5108 0.6496 2.2065
Li -0.1440 1.4913 0.7731
Li -0.0946 3.9992 -0.3633
Ge -0.4957 1.3542 3.7516
Ge -2.4271 2.9556 0.8414
Si -2.1904 -0.0756 -0.2621
```

Results
formation energy without anion corrections = -241 meV/atom
crystal system = monoclinic



# 2
Here is a relaxed Ho2Tm5Th crystal from the Alexandria database. Energies are from PBE.

The structure in extended XYZ format:
```
8
Lattice="6.8193 -0.5148 -2.0310 -3.9146 5.6126 -2.0152 0.1345 0.2185 6.6491" Properties=species:S:1:pos:R:3 pbc="T T T"
Tm 1.8872 4.3259 0.1777
Tm 1.3854 1.3807 5.5248
Tm -0.7017 3.9617 -2.1289
Tm 4.6704 0.9059 -2.1437
Tm 0.4347 1.7768 2.2011
Ho -1.5495 4.5955 1.1881
Ho 3.8209 1.5371 1.1890
Th 2.8573 3.9186 3.5014
```

Results
crystal system = orthorhombic
energy of formation from the pure elements = 0.0100 eV/atom
distance to the lowest polymorph of the same formula = 0.000 eV/atom



# 3
Here is a relaxed Pr4Ge2AsCl crystal from the Alexandria database. Energies are from PBE.

The structure in extended XYZ format:
```
8
Lattice="6.0527 0.3302 0.0000 -0.3292 6.0527 0.0000 -2.8618 -3.1914 6.0616" Properties=species:S:1:pos:R:3 pbc="T T T"
Pr -0.3598 -0.4013 2.9644
Pr 2.3381 5.8171 0.0000
Pr 5.5288 2.9561 0.0000
Pr 2.5019 2.7902 3.0973
Ge -0.5247 2.6248 3.0308
Ge 2.6663 -0.2364 3.0308
Cl 2.5025 2.7908 0.0000
As 5.3639 5.9819 0.0000
```

Results
formation energy without anion corrections = -1234 meV/atom
crystal system = tetragonal



# 4
Here is a relaxed MgAlS2 crystal from the Alexandria database. Energies are from PBE.

The structure in extended XYZ format:
```
4
Lattice="2.0464 0.0000 7.6044 -1.0232 1.7722 7.6044 -1.0232 -1.7722 7.6044" Properties=species:S:1:pos:R:3 pbc="T T T"
S 0.0000 0.0000 2.5004
S 0.0000 0.0000 20.3128
Mg 0.0000 0.0000 0.0000
Al 0.0000 0.0000 11.4066
```

Results
formation energy without anion corrections = -785 meV/atom
crystal system = trigonal



# 5
Here is a relaxed PmPr4NdSe8 crystal from the Alexandria database. Energies are from PBE.

The structure in extended XYZ format:
```
14
Lattice="8.7548 0.0000 0.0000 4.3774 7.5819 0.0000 4.3774 2.5273 7.1196" Properties=species:S:1:pos:R:3 pbc="T T T"
Se 8.7548 2.3476 1.8076
Se 11.0991 6.4081 1.8076
Se 11.0825 3.7107 5.3174
Se 13.1322 7.5819 5.1850
Se 6.4271 3.7107 5.3174
Se 4.3774 2.5273 1.9178
Se 8.7548 7.7424 5.3174
Se 6.4105 6.4081 1.8076
Pr 2.1931 1.2662 3.5615
Pr 8.7548 5.0546 0.9063
Pr 6.5617 1.2662 3.5615
Pr 4.3774 5.0495 3.5615
Nd 8.7548 5.0546 6.2162
Pm 4.3774 2.5273 7.1125
```

Results
formation energy without anion corrections = -1728 meV/atom
crystal system = trigonal



# 6
Here is a relaxed CaMoPb2 crystal from the Alexandria database. Energies are from PBE.

The structure in extended XYZ format:
```
4
Lattice="3.7314 0.0000 0.0000 0.0000 3.7314 0.0000 0.0000 0.0000 7.6255" Properties=species:S:1:pos:R:3 pbc="T T T"
Pb 1.8657 1.8657 1.6994
Pb 0.0000 0.0000 7.1516
Ca 0.0000 0.0000 3.9910
Mo 1.8657 1.8657 6.2217
```

Results
crystal system = tetragonal
energy of formation from the pure elements = 0.3905 eV/atom
distance to the lowest polymorph of the same formula = 0.187 eV/atom